Entry 1:
The following is a PBE-GGA calculation of a relaxed MgAl2Ni crystal, from Alexandria.

Cell: 4.1528 2.9246 5.3273 Å, 73.36 90.00 90.00°
Closest atoms and distances in Å follow each position.
Atoms (fractional coordinates):
Mg (0.5000, 0.2500, 0.2500)  2 Ni 2.65, 8 Al 2.90, 2 Mg 2.92
Al (0.0000, 0.6072, 0.5251)  2 Ni 2.49, 2 Al 2.69-2.75
Al (0.0000, 0.8928, 0.9749)  2 Ni 2.49, 2 Al 2.69-2.75
Ni (0.5000, 0.7500, 0.7500)  4 Al 2.49, 2 Mg 2.65

Output
**Electronic total energy**: -3.870 eV/atom



Entry 2:
The following is a PBE-GGA calculation of a relaxed MgAl3Ni crystal, from Alexandria.

Cell: 4.9237 4.9237 4.9237 Å, 90.00 90.00 90.00°
Closest atoms and distances in Å follow each position.
Atoms (fractional coordinates):
Al (0.0000, 0.5000, 0.0000)  2 Mg 2.46
Al (0.5000, 0.0000, 0.0000)  2 Mg 2.46
Al (0.0000, 0.0000, 0.5000)  2 Mg 2.46
Ni (0.5000, 0.5000, 0.5000)  12 Al 3.48
Mg (0.0000, 0.0000, 0.0000)  6 Al 2.46

Output
**Energy above the lowest structure with this stoichiometry**: 1579 meV per atom



Entry 3:
The following is a PBE-GGA calculation of a relaxed Mg2AlNi crystal, from Alexandria.

Cell: 4.9866 4.9866 4.9866 Å, 133.09 133.09 68.51°
Closest atoms and distances in Å follow each position.
Atoms (fractional coordinates):
Mg (0.0000, 0.0000, 0.0000)  4 Mg 2.81, 4 Ni 2.86, 4 Al 2.86
Mg (0.5000, 0.5000, 0.0000)  4 Mg 2.81, 4 Al 2.86, 4 Ni 2.86
Ni (0.2500, 0.7500, 0.5000)  4 Al 2.81, 8 Mg 2.86
Al (0.7500, 0.2500, 0.5000)  4 Ni 2.81, 8 Mg 2.86

Output
**Electronic total energy**: -3.256 eV/atom



Entry 4:
The following is a PBE-GGA calculation of a relaxed MgAl3Ni2 crystal, from Alexandria.

Cell: 5.0537 5.9423 5.9423 Å, 92.76 90.00 90.00°
Closest atoms and distances in Å follow each position.
Atoms (fractional coordinates):
Al (0.2500, 0.9203, 0.5665)  4 Ni 2.48-2.51
Al (0.7500, 0.0797, 0.4335)  4 Ni 2.48-2.51
Al (0.7500, 0.9500, 0.9500)  4 Ni 2.43, 2 Al 2.66
Al (0.2500, 0.0500, 0.0500)  4 Ni 2.43, 2 Al 2.66
Al (0.2500, 0.5665, 0.9203)  4 Ni 2.48-2.51
Al (0.7500, 0.4335, 0.0797)  4 Ni 2.48-2.51
Mg (0.2500, 0.4135, 0.4135)  4 Ni 2.69, 2 Mg 2.90, 1 Al 2.98
Mg (0.7500, 0.5865, 0.5865)  4 Ni 2.69, 2 Mg 2.90, 1 Al 2.98
Ni (0.5000, 0.7634, 0.2366)  6 Al 2.43-2.51, 2 Ni 2.53, 2 Mg 2.69
Ni (0.0000, 0.2366, 0.7634)  6 Al 2.43-2.51, 2 Ni 2.53, 2 Mg 2.69
Ni (0.5000, 0.2366, 0.7634)  6 Al 2.43-2.51, 2 Ni 2.53, 2 Mg 2.69
Ni (0.0000, 0.7634, 0.2366)  6 Al 2.43-2.51, 2 Ni 2.53, 2 Mg 2.69

Output
**Electronic total energy**: -4.486 eV/atom